# PaNi4Ge4 PBE optimized geometry
data_PaNi4Ge4
_cell_length_a 7.988
_cell_length_b 7.988
_cell_length_c 4.606
_cell_angle_alpha 90.00
_cell_angle_beta 90.00
_cell_angle_gamma 90.00
_symmetry_space_group_name_H-M 'I 4/m'
_symmetry_Int_Tables_number 87
_symmetry_space_group_name_Hall '-I 4'
loop_
_atom_site_label
_atom_site_type_symbol
_atom_site_fract_x
_atom_site_fract_y
_atom_site_fract_z
Pa1 Pa 0.000 0.000 0.000
Ni1 Ni 0.162 0.696 0.000
Ge1 Ge 0.101 0.644 0.500
# magnetic moment	1.1	μB/cell
# energy of formation	-0.192	eV/atom
# uncorrected energy	-105.633	eV/cell

***

# Pa2Ni5Ge3 PBE optimized geometry
data_Pa2Ni5Ge3
_cell_length_a 4.090
_cell_length_b 23.145
_cell_length_c 6.547
_cell_angle_alpha 90.00
_cell_angle_beta 90.00
_cell_angle_gamma 90.00
_symmetry_space_group_name_H-M 'C m c 21'
_symmetry_Int_Tables_number 36
loop_
_symmetry_equiv_pos_as_xyz
'x,y,z'
'-x,-y,z+1/2'
'-x,y,z'
'x,-y,z+1/2'
'x+1/2,y+1/2,z'
'-x+1/2,-y+1/2,z+1/2'
'-x+1/2,y+1/2,z'
'x+1/2,-y+1/2,z+1/2'
loop_
_atom_site_label
_atom_site_type_symbol
_atom_site_fract_x
_atom_site_fract_y
_atom_site_fract_z
Pa1 Pa 0.000 0.013 0.000
Pa2 Pa 0.000 0.327 0.057
Ni1 Ni 0.000 0.106 0.757
Ni2 Ni 0.000 0.205 0.884
Ni3 Ni 0.000 0.221 0.287
Ni4 Ni 0.000 0.378 0.509
Ni5 Ni 0.000 0.448 0.816
Ge1 Ge 0.000 0.117 0.258
Ge2 Ge 0.000 0.275 0.590
Ge3 Ge 0.000 0.446 0.206
# offset from the most stable computed form	0.28	eV/f.u.
# magnetic moment	0.0	μB/cell
# energy of formation	-0.484	eV/atom
# uncorrected energy	-266.379	eV/cell

***

# Pa3Ni2Ge7 PBE optimized geometry
data_Pa3Ni2Ge7
_cell_length_a 4.222
_cell_length_b 4.211
_cell_length_c 12.679
_cell_angle_alpha 90.00
_cell_angle_beta 99.54
_cell_angle_gamma 90.00
_symmetry_space_group_name_H-M 'P 1 2/m 1'
_symmetry_Int_Tables_number 10
loop_
_symmetry_equiv_pos_as_xyz
'x,y,z'
'-x,-y,-z'
'-x,y,-z'
'x,-y,z'
loop_
_atom_site_label
_atom_site_type_symbol
_atom_site_fract_x
_atom_site_fract_y
_atom_site_fract_z
Pa1 Pa 0.000 0.000 0.000
Pa2 Pa 0.313 0.500 0.629
Ni1 Ni 0.128 0.000 0.258
Ge1 Ge 0.093 0.500 0.177
Ge2 Ge 0.223 0.000 0.444
Ge3 Ge 0.413 0.000 0.824
Ge4 Ge 0.500 0.500 0.000
# magnetic moment	0.1	μB/cell
# energy of formation	-0.468	eV/atom
# uncorrected energy	-77.985	eV/cell

***

# Pa2Ni3Ge2 PBE optimized geometry
data_Pa2Ni3Ge2
_cell_length_a 7.942
_cell_length_b 7.942
_cell_length_c 7.942
_cell_angle_alpha 90.00
_cell_angle_beta 90.00
_cell_angle_gamma 90.00
_symmetry_space_group_name_H-M 'I 21 3'
_symmetry_Int_Tables_number 199
_symmetry_space_group_name_Hall 'I 2b 2c 3'
loop_
_atom_site_label
_atom_site_type_symbol
_atom_site_fract_x
_atom_site_fract_y
_atom_site_fract_z
Pa1 Pa 0.241 0.259 0.741
Ni1 Ni 0.000 0.250 0.035
Ge1 Ge 0.037 0.463 0.537
# magnetic moment	0.0	μB/cell
# energy of formation	-0.362	eV/atom
# uncorrected energy	-192.413	eV/cell

***

# Pa2NiGe2 PBE optimized geometry
data_Pa2NiGe2
_cell_length_a 9.574
_cell_length_b 5.661
_cell_length_c 7.556
_cell_angle_alpha 90.00
_cell_angle_beta 102.31
_cell_angle_gamma 90.00
_symmetry_space_group_name_H-M 'P 1 21/c 1'
_symmetry_Int_Tables_number 14
loop_
_symmetry_equiv_pos_as_xyz
'x,y,z'
'-x,-y,-z'
'-x,y+1/2,-z+1/2'
'x,-y+1/2,z+1/2'
loop_
_atom_site_label
_atom_site_type_symbol
_atom_site_fract_x
_atom_site_fract_y
_atom_site_fract_z
Pa1 Pa 0.112 0.142 0.082
Pa2 Pa 0.342 0.620 0.994
Ni1 Ni 0.332 0.115 0.840
Ge1 Ge 0.122 0.640 0.219
Ge2 Ge 0.433 0.106 0.161
# offset from the most stable computed form	0.15	eV/f.u.
# magnetic moment	2.0	μB/cell
# energy of formation	-0.495	eV/atom
# uncorrected energy	-145.931	eV/cell

***

# Pa3Ni2Ge4 PBE optimized geometry
data_Pa3Ni2Ge4
_cell_length_a 10.571
_cell_length_b 4.153
_cell_length_c 8.075
_cell_angle_alpha 90.00
_cell_angle_beta 102.48
_cell_angle_gamma 90.00
_symmetry_space_group_name_H-M 'C 1 2/m 1'
_symmetry_Int_Tables_number 12
loop_
_symmetry_equiv_pos_as_xyz
'x,y,z'
'-x,-y,-z'
'-x,y,-z'
'x,-y,z'
'x+1/2,y+1/2,z'
'-x+1/2,-y+1/2,-z'
'-x+1/2,y+1/2,-z'
'x+1/2,-y+1/2,z'
loop_
_atom_site_label
_atom_site_type_symbol
_atom_site_fract_x
_atom_site_fract_y
_atom_site_fract_z
Pa1 Pa 0.000 0.000 0.000
Pa2 Pa 0.165 0.500 0.665
Ni1 Ni 0.118 0.500 0.297
Ge1 Ge 0.060 0.000 0.383
Ge2 Ge 0.215 0.500 0.064
# offset from the most stable computed form	0.00	eV/f.u.
# magnetic moment	0.0	μB/cell
# energy of formation	-0.555	eV/atom
# uncorrected energy	-127.028	eV/cell

***

# PaNi5Ge2 PBE optimized geometry
data_PaNi5Ge2
_cell_length_a 3.690
_cell_length_b 6.489
_cell_length_c 9.507
_cell_angle_alpha 90.00
_cell_angle_beta 90.00
_cell_angle_gamma 90.00
_symmetry_space_group_name_H-M 'I m m m'
_symmetry_Int_Tables_number 71
_symmetry_space_group_name_Hall '-I 2 2'
loop_
_atom_site_label
_atom_site_type_symbol
_atom_site_fract_x
_atom_site_fract_y
_atom_site_fract_z
Pa1 Pa 0.000 0.000 0.000
Ni1 Ni 0.000 0.193 0.369
Ni2 Ni 0.000 0.500 0.000
Ge1 Ge 0.000 0.500 0.244
# magnetic moment	0.0	μB/cell
# energy of formation	-0.378	eV/atom
# uncorrected energy	-101.320	eV/cell

***

# Pa2NiGe3 PBE optimized geometry
data_Pa2NiGe3
_cell_length_a 3.933
_cell_length_b 4.196
_cell_length_c 7.132
_cell_angle_alpha 90.00
_cell_angle_beta 90.00
_cell_angle_gamma 90.00
_symmetry_space_group_name_H-M 'P m m 2'
_symmetry_Int_Tables_number 25
loop_
_symmetry_equiv_pos_as_xyz
'x,y,z'
'-x,-y,z'
'-x,y,z'
'x,-y,z'
loop_
_atom_site_label
_atom_site_type_symbol
_atom_site_fract_x
_atom_site_fract_y
_atom_site_fract_z
Pa1 Pa 0.000 0.000 0.000
Pa2 Pa 0.000 0.500 0.494
Ni1 Ni 0.500 0.000 0.319
Ge1 Ge 0.500 0.000 0.644
Ge2 Ge 0.500 0.500 0.176
Ge3 Ge 0.500 0.500 0.828
# offset from the most stable computed form	0.03	eV/f.u.
# magnetic moment	0.0	μB/cell
# energy of formation	-0.469	eV/atom
# uncorrected energy	-41.439	eV/cell

***

# Pa2Ni7Ge PBE optimized geometry
data_Pa2Ni7Ge
_cell_length_a 3.664
_cell_length_b 3.664
_cell_length_c 10.970
_cell_angle_alpha 90.00
_cell_angle_beta 90.00
_cell_angle_gamma 90.00
_symmetry_space_group_name_H-M 'P -4 m 2'
_symmetry_Int_Tables_number 115
loop_
_symmetry_equiv_pos_as_xyz
'x,y,z'
'y,-x,-z'
'-x,-y,z'
'-y,x,-z'
'-x,y,z'
'-y,-x,-z'
'x,-y,z'
'y,x,-z'
loop_
_atom_site_label
_atom_site_type_symbol
_atom_site_fract_x
_atom_site_fract_y
_atom_site_fract_z
Pa1 Pa 0.000 0.500 0.238
Ni1 Ni 0.000 0.000 0.000
Ni2 Ni 0.000 0.500 0.649
Ni3 Ni 0.000 0.500 0.860
Ni4 Ni 0.500 0.500 0.000
Ni5 Ni 0.500 0.500 0.500
Ge1 Ge 0.000 0.000 0.500
# magnetic moment	0.0	μB/cell
# energy of formation	-0.331	eV/atom
# uncorrected energy	-67.388	eV/cell

***

# Pa3Ni7Ge2 PBE optimized geometry
data_Pa3Ni7Ge2
_cell_length_a 3.817
_cell_length_b 3.817
_cell_length_c 26.522
_cell_angle_alpha 90.00
_cell_angle_beta 90.00
_cell_angle_gamma 90.00
_symmetry_space_group_name_H-M 'I 4/m m m'
_symmetry_Int_Tables_number 139
_symmetry_space_group_name_Hall '-I 4 2'
loop_
_atom_site_label
_atom_site_type_symbol
_atom_site_fract_x
_atom_site_fract_y
_atom_site_fract_z
Pa1 Pa 0.000 0.000 0.000
Pa2 Pa 0.000 0.000 0.178
Ni1 Ni 0.000 0.000 0.280
Ni2 Ni 0.000 0.000 0.500
Ni3 Ni 0.000 0.500 0.072
Ge1 Ge 0.000 0.000 0.374
# magnetic moment	0.0	μB/cell
# energy of formation	-0.333	eV/atom
# uncorrected energy	-164.382	eV/cell

***

# Pa3Ni8Ge PBE optimized geometry
data_Pa3Ni8Ge
_cell_length_a 4.9935
_cell_length_b 4.9935
_cell_length_c 24.4114
_cell_angle_alpha 90.00
_cell_angle_beta 90.00
_cell_angle_gamma 120.00
_symmetry_space_group_name_H-M 'R 3 m'
_symmetry_Int_Tables_number 160
_symmetry_space_group_name_Hall 'R 3 -2"'
loop_
_atom_site_label
_atom_site_type_symbol
_atom_site_fract_x
_atom_site_fract_y
_atom_site_fract_z
Pa1 Pa 0.0000 0.0000 0.0000
Pa2 Pa 0.0000 0.0000 0.1267
Pa3 Pa 0.0000 0.0000 0.5108
Ni1 Ni 0.0000 0.0000 0.3161
Ni2 Ni 0.0000 0.0000 0.8165
Ni3 Ni 0.1673 0.3346 0.3990
Ni4 Ni 0.1689 0.3378 0.8999
Ge1 Ge 0.0000 0.0000 0.6359
# magnetic moment	0.0	μB/cell
# energy of formation	-0.390	eV/atom
# uncorrected energy	-252.119	eV/cell

***

# PaNi6Ge4 PBE optimized geometry
data_PaNi6Ge4
_cell_length_a 6.8098
_cell_length_b 6.8098
_cell_length_c 3.8151
_cell_angle_alpha 90.00
_cell_angle_beta 90.00
_cell_angle_gamma 120.00
_symmetry_space_group_name_H-M 'P -6 m 2'
_symmetry_Int_Tables_number 187
_symmetry_space_group_name_Hall 'P -6 2'
loop_
_atom_site_label
_atom_site_type_symbol
_atom_site_fract_x
_atom_site_fract_y
_atom_site_fract_z
Pa1 Pa 0.0000 0.0000 0.0000
Ni1 Ni 0.0730 0.5365 0.0000
Ni2 Ni 0.4059 0.2029 0.5000
Ge1 Ge 0.1948 0.3897 0.5000
Ge2 Ge 0.6667 0.3333 0.0000
# magnetic moment	0.0	μB/cell
# energy of formation	-0.412	eV/atom
# uncorrected energy	-67.191	eV/cell